The following is a GGA-PBE calculation of an optimized crystal structure of YAl3Se, from Alexandria via LeMat-Bulk.

a b c (Å): 5.621 5.621 5.621
angles (deg): 90.00 90.00 90.00
Element x y z (fractional)
Y  0.000  0.000  0.000
Al  0.000  0.000  0.500
Al  0.000  0.500  0.000
Al  0.500  0.000  0.000
Se  0.500  0.500  0.500

Volume   35.52 Å³ per atom
Excess energy over the best structure of this formula in the dataset   80.8 kJ per mole of atoms
Total energy   -15.46 eV per cell
Formation energy (no corrections)   5.7 eV/f.u.